1.
Here is ScNi2HgAu after structural relaxation from Alexandria. Energies are from PBE-GGA.

D(E_F) = 9.0 states/eV/f.u.
total DFT energy (no corrections) = -17.724 eV per cell
energy of formation = 72.4 kJ per mole of atoms

abc: 4.7393 4.7393 5.0648
angles: 90.00 90.00 90.00
With the nearest neighbours (Å) after each atom.
Space group P4/mmm (No. 123)
Asymmetric unit:
Sc (0.0000, 0.0000, 0.0000) x1  4 Hg 3.35, 8 Ni 3.47
Ni (0.0000, 0.5000, 0.5000) x2  2 Au 2.37
Hg (0.5000, 0.5000, 0.0000) x1  2 Au 2.53
Au (0.5000, 0.5000, 0.5000) x1  4 Ni 2.37, 2 Hg 2.53

---

2.
Here is TcNiHgAu2 after structural relaxation from Alexandria. Energies are from PBE-GGA.

D(E_F) = 3.5 states/eV/f.u.
total DFT energy (no corrections) = -18.778 eV per cell
energy of formation = 81.5 kJ per mole of atoms

abc: 4.8078 4.8078 4.3867
angles: 90.00 90.00 90.00
With the nearest neighbours (Å) after each atom.
Space group P4/mmm (No. 123)
Asymmetric unit:
Tc (0.0000, 0.0000, 0.0000) x1  2 Ni 2.19
Ni (0.0000, 0.0000, 0.5000) x1  2 Tc 2.19, 4 Au 2.40
Hg (0.5000, 0.5000, 0.0000) x1  8 Au 3.25, 4 Tc 3.40
Au (0.0000, 0.5000, 0.5000) x2  2 Ni 2.40